--- one ---
A plane-wave DFT calculation with PBE-GGA was carried out for an optimized crystal structure of MgBRh3.

Results
Size of the total moment ... 0.000 Bohr magnetons per cell

Lattice parameters (Å, degrees): 18.2247 5.2373 7.1637 90.00 156.66 90.00
Last column: nearest neighbours and their distance in Å.
Element x y z (fractional)
Rh  0.0622  0.7355  0.5947  2 B 2.07-2.16
Rh  0.1761  0.7956  0.2324  2 B 2.23-2.33
Rh  0.9378  0.2645  0.4053  2 B 2.07-2.16
Rh  0.4378  0.2355  0.9053  2 B 2.07-2.16
Rh  0.5622  0.7645  0.0947  2 B 2.07-2.16
Rh  0.3239  0.2956  0.2676  2 B 2.23-2.33
Rh  0.2041  0.0426  0.6563  2 B 2.14-2.16
Rh  0.7041  0.4574  0.1563  2 B 2.14-2.16
Rh  0.6761  0.7044  0.7324  2 B 2.23-2.33
Rh  0.8239  0.2044  0.7676  2 B 2.23-2.33
Rh  0.7959  0.9574  0.3437  2 B 2.14-2.16
Rh  0.2959  0.5426  0.8437  2 B 2.14-2.16
B  0.4234  0.8701  0.0118  5 Rh 2.07-2.23
B  0.0766  0.3701  0.4882  5 Rh 2.07-2.23
B  0.9234  0.6299  0.5118  5 Rh 2.07-2.23
B  0.5766  0.1299  0.9882  5 Rh 2.07-2.23
Mg  0.5760  0.2057  0.5633  1 B 2.50, 6 Rh 2.61-2.76
Mg  0.4240  0.7943  0.4367  1 B 2.50, 6 Rh 2.61-2.76
Mg  0.9240  0.7057  0.9367  1 B 2.50, 6 Rh 2.61-2.76
Mg  0.0760  0.2943  0.0633  1 B 2.50, 6 Rh 2.61-2.76

=====

--- two ---
A plane-wave DFT calculation with PBE-GGA was carried out for an optimized crystal structure of MgBRh3.

Results
Size of the total moment ... 0.000 Bohr magnetons per cell

Lattice parameters (Å, degrees): 5.1351 5.1351 5.1351 89.68 89.68 89.68
Last column: nearest neighbours and their distance in Å.
Element x y z (fractional)
Mg  0.5000  0.5000  0.5000  2 B 2.24
Mg  0.0000  0.0000  0.0000  2 B 2.24
Rh  0.7500  0.0335  0.4665  1 B 2.05
Rh  0.0335  0.4665  0.7500  1 B 2.05
Rh  0.4665  0.7500  0.0335  1 B 2.05
Rh  0.5335  0.2500  0.9665  1 B 2.05
Rh  0.9665  0.5335  0.2500  1 B 2.05
Rh  0.2500  0.9665  0.5335  1 B 2.05
B  0.2500  0.2500  0.2500  3 Rh 2.05, 2 Mg 2.24
B  0.7500  0.7500  0.7500  3 Rh 2.05, 2 Mg 2.24

=====

Stability summary: most stable one, least stable two.

=====

--- one ---
A plane-wave DFT calculation with PBE-GGA was carried out for an optimized crystal structure of MgBRh3.

Results
Size of the total moment ... 0.000 Bohr magnetons per cell

Lattice parameters (Å, degrees): 4.8600 5.6827 5.6819 120.01 90.00 89.99
Last column: nearest neighbours and their distance in Å.
Element x y z (fractional)
B  0.1056  0.6421  0.9817  6 Rh 2.09
B  0.6056  0.6420  0.9817  6 Rh 2.09
Rh  0.3555  0.9872  0.1543  2 B 2.09
Rh  0.8555  0.8146  0.3269  2 B 2.09
Rh  0.3556  0.4694  0.1543  2 B 2.09
Rh  0.8556  0.2969  0.8091  2 B 2.09
Rh  0.3556  0.4695  0.6365  2 B 2.09
Rh  0.8555  0.8146  0.8091  2 B 2.09
Mg  0.8555  0.3087  0.3150  12 Rh 2.84-2.90
Mg  0.3555  0.9755  0.6484  12 Rh 2.84-2.90

=====

--- two ---
A plane-wave DFT calculation with PBE-GGA was carried out for an optimized crystal structure of MgBRh3.

Results
Size of the total moment ... 0.000 Bohr magnetons per cell

Lattice parameters (Å, degrees): 7.6817 7.6817 7.6817 60.00 60.00 60.00
Last column: nearest neighbours and their distance in Å.
Element x y z (fractional)
B  0.1250  0.1250  0.6250  6 Rh 2.06
B  0.6250  0.1250  0.1250  6 Rh 2.06
B  0.1250  0.1250  0.1250  6 Rh 2.06
B  0.1250  0.6250  0.1250  6 Rh 2.06
Rh  0.0565  0.4435  0.4435  2 B 2.06
Rh  0.8065  0.1935  0.1935  2 B 2.06
Rh  0.4435  0.4435  0.0565  2 B 2.06
Rh  0.0565  0.0565  0.4435  2 B 2.06
Rh  0.8065  0.1935  0.8065  2 B 2.06
Rh  0.1935  0.1935  0.8065  2 B 2.06
Rh  0.1935  0.8065  0.1935  2 B 2.06
Rh  0.4435  0.0565  0.0565  2 B 2.06
Rh  0.4435  0.0565  0.4435  2 B 2.06
Rh  0.1935  0.8065  0.8065  2 B 2.06
Rh  0.8065  0.8065  0.1935  2 B 2.06
Rh  0.0565  0.4435  0.0565  2 B 2.06
Mg  0.6250  0.6250  0.1250  6 Rh 2.75
Mg  0.1250  0.6250  0.6250  6 Rh 2.75
Mg  0.6250  0.6250  0.6250  6 Rh 2.75
Mg  0.6250  0.1250  0.6250  6 Rh 2.75

=====

Stability summary: most stable one, least stable two.

=====

--- one ---
A plane-wave DFT calculation with PBE-GGA was carried out for an optimized crystal structure of MgBRh3.

Results
Size of the total moment ... 0.000 Bohr magnetons per cell

Lattice parameters (Å, degrees): 3.6801 3.6801 6.5828 90.00 90.00 90.00
Last column: nearest neighbours and their distance in Å.
Element x y z (fractional)
Mg  0.0000  0.0000  0.1096  5 Rh 2.59-2.77
Rh  0.5000  0.0000  0.4243  2 B 2.14
Rh  0.0000  0.5000  0.4243  2 B 2.14
Rh  0.0000  0.0000  0.7163  1 Mg 2.59, 4 Rh 2.66, 4 B 2.73
B  0.5000  0.5000  0.5892  4 Rh 2.14

=====

--- two ---
A plane-wave DFT calculation with PBE-GGA was carried out for an optimized crystal structure of MgBRh3.

Results
Size of the total moment ... 0.000 Bohr magnetons per cell

Lattice parameters (Å, degrees): 4.1068 4.1068 4.1068 90.00 90.00 90.00
Last column: nearest neighbours and their distance in Å.
Element x y z (fractional)
Rh  0.5000  0.0000  0.0000  2 B 2.05
Rh  0.0000  0.0000  0.5000  2 B 2.05
Rh  0.0000  0.5000  0.0000  2 B 2.05
B  0.0000  0.0000  0.0000  6 Rh 2.05
Mg  0.5000  0.5000  0.5000  12 Rh 2.90

=====

Stability summary: most stable two, least stable one.

=====

--- one ---
A plane-wave DFT calculation with PBE-GGA was carried out for an optimized crystal structure of MgBRh3.

Results
Size of the total moment ... 0.000 Bohr magnetons per cell

Lattice parameters (Å, degrees): 7.6078 7.6078 7.6078 37.35 37.35 37.35
Last column: nearest neighbours and their distance in Å.
Element x y z (fractional)
B  0.8331  0.8331  0.8331  6 Rh 2.10-2.12
B  0.1669  0.1669  0.1669  6 Rh 2.10-2.12
Rh  0.1108  0.7627  0.4394  2 B 2.10-2.12
Rh  0.4394  0.1108  0.7627  2 B 2.10-2.12
Rh  0.5606  0.8892  0.2373  2 B 2.10-2.12
Rh  0.2373  0.5606  0.8892  2 B 2.10-2.12
Rh  0.7627  0.4394  0.1108  2 B 2.10-2.12
Rh  0.8892  0.2373  0.5606  2 B 2.10-2.12
Mg  0.6688  0.6688  0.6688  6 Rh 2.71-2.76, 3 Mg 2.81
Mg  0.3312  0.3312  0.3312  6 Rh 2.71-2.76, 3 Mg 2.81

=====

--- two ---
A plane-wave DFT calculation with PBE-GGA was carried out for an optimized crystal structure of MgBRh3.

Results
Size of the total moment ... 0.000 Bohr magnetons per cell

Lattice parameters (Å, degrees): 4.4427 4.4427 4.4427 90.00 90.00 90.00
Last column: nearest neighbours and their distance in Å.
Element x y z (fractional)
B  0.5000  0.5000  0.5000  12 Rh 3.14
Rh  0.5000  0.0000  0.0000  2 Mg 2.22
Rh  0.0000  0.5000  0.0000  2 Mg 2.22
Rh  0.0000  0.0000  0.5000  2 Mg 2.22
Mg  0.0000  0.0000  0.0000  6 Rh 2.22

=====

Stability summary: most stable one, least stable two.